No. 1
The following is a PBE calculation of crystalline Pr2NpSb3Rh4 at its relaxed geometry, from Alexandria via LeMat-Bulk.

abc: 4.454 4.454 11.258
angles: 90.00 90.00 90.00
Positions (direct):
Pr 0.000 0.500 0.228
Pr 0.500 0.000 0.772
Np 0.000 0.000 0.500
Sb 0.000 0.500 0.871
Sb 0.500 0.000 0.129
Sb 0.500 0.500 0.500
Rh 0.000 0.000 0.000
Rh 0.000 0.500 0.640
Rh 0.500 0.000 0.360
Rh 0.500 0.500 0.000

Crystal system   tetragonal
E_form (uncorrected)   -728.8 meV/atom

No. 2
The following is a PBE calculation of crystalline LiVCuS at its relaxed geometry, from Alexandria via LeMat-Bulk.

abc: 3.963 4.520 4.520
angles: 41.55 90.00 90.00
Positions (direct):
Li 0.000 0.000 0.000
V 0.500 0.717 0.717
Cu 0.000 0.275 0.275
S 0.500 0.430 0.430

E above lowest polymorph   7.8 kJ per mole of atoms
Crystal system   orthorhombic
E_form (uncorrected)   -277.7 meV/atom

In the order shown, the computed magnetization values come out to 4.207 0.955 μB/cell.